1.
A plane-wave DFT calculation with PBE was carried out for a relaxed structure of Ca2PmMnS4.

a b c (Å): 6.7977 3.9538 6.9177
angles (deg): 90.00 109.82 90.00
Element x y z (fractional)
Ca1 0.0000 0.0000 0.0000
Ca2 0.5000 0.5000 0.0000
Pm1 0.0000 0.5000 0.5000
Mn1 0.5000 0.0000 0.5000
S1 0.2570 0.0000 0.7486
S2 0.2669 0.5000 0.2656
S3 0.7331 0.5000 0.7344
S4 0.7430 0.0000 0.2514

Computed properties:
formation energy (no corrections) = -1.663 eV/atom
spin magnetization = 4.395 μB per formula unit
space-group type = P2/m
final energy = -5.97 eV/atom

2.
A plane-wave DFT calculation with PBE was carried out for a relaxed structure of Ca2PmMnSe4.

a b c (Å): 7.1126 4.1214 7.2127
angles (deg): 90.00 109.81 90.00
Element x y z (fractional)
Ca1 0.0000 0.0000 0.0000
Ca2 0.5000 0.5000 0.0000
Pm1 0.0000 0.5000 0.5000
Mn1 0.5000 0.0000 0.5000
Se1 0.2575 0.0000 0.7483
Se2 0.2677 0.5000 0.2664
Se3 0.7323 0.5000 0.7336
Se4 0.7425 0.0000 0.2517

Computed properties:
formation energy (no corrections) = -1.523 eV/atom
spin magnetization = 4.411 μB per formula unit
space-group type = P2/m
final energy = -5.51 eV/atom

3.
A plane-wave DFT calculation with PBE was carried out for a relaxed structure of CaPr3Mn.

a b c (Å): 5.5317 5.5317 5.5317
angles (deg): 90.00 90.00 90.00
Element x y z (fractional)
Ca1 0.0000 0.0000 0.0000
Pr1 0.0000 0.5000 0.5000
Pr2 0.5000 0.0000 0.5000
Pr3 0.5000 0.5000 0.0000
Mn1 0.5000 0.5000 0.5000

Computed properties:
spin magnetization = 0.690 μB per formula unit
energy of formation = 5.0 kcal/mol of atoms
space-group type = Pm-3m
final energy = -4.88 eV/atom

4.
A plane-wave DFT calculation with PBE was carried out for a relaxed structure of Ca2PrMnSe4.

a b c (Å): 7.1475 4.1433 7.2591
angles (deg): 90.00 109.80 90.00
Element x y z (fractional)
Ca1 0.0000 0.0000 0.0000
Ca2 0.5000 0.5000 0.0000
Pr1 0.0000 0.5000 0.5000
Mn1 0.5000 0.0000 0.5000
Se1 0.2605 0.0000 0.7520
Se2 0.2696 0.5000 0.2649
Se3 0.7304 0.5000 0.7351
Se4 0.7395 0.0000 0.2480

Computed properties:
formation energy (no corrections) = -1.513 eV/atom
spin magnetization = 4.411 μB per formula unit
space-group type = P2/m
final energy = -5.50 eV/atom

5.
A plane-wave DFT calculation with PBE was carried out for a relaxed structure of CaMnPt2.

a b c (Å): 9.5357 9.5357 9.5357
angles (deg): 17.96 17.96 17.96
Element x y z (fractional)
Ca1 0.0000 0.0000 0.0000
Mn1 0.2363 0.2363 0.2363
Pt1 0.4989 0.4989 0.4989
Pt2 0.7479 0.7479 0.7479

Computed properties:
spin magnetization = 3.882 μB per formula unit
energy of formation = 2.6 kcal/mol of atoms
space-group type = R3m
final energy = -5.70 eV/atom

6.
A plane-wave DFT calculation with PBE was carried out for a relaxed structure of CaMnPt2.

a b c (Å): 4.3481 4.3481 3.7176
angles (deg): 90.00 90.00 90.00
Element x y z (fractional)
Ca1 0.0000 0.0000 0.0000
Mn1 0.5000 0.5000 0.0000
Pt1 0.0000 0.5000 0.5000
Pt2 0.5000 0.0000 0.5000

Computed properties:
spin magnetization = 4.520 μB per formula unit
energy of formation = -11.7 kcal/mol of atoms
space-group type = P4/mmm
final energy = -6.32 eV/atom